The following is a DFT calculation (PBE+U) of an optimized crystal structure of LiNbCo2O.

## Properties
energy	-4.15	eV per atom

The structure in CIF format:
```
data_LiNbCo2O
_cell_length_a 3.706
_cell_length_b 3.706
_cell_length_c 4.904
_cell_angle_alpha 90.00
_cell_angle_beta 90.00
_cell_angle_gamma 90.00
_symmetry_space_group_name_H-M 'P 1'
_symmetry_Int_Tables_number 1
_symmetry_space_group_name_Hall 'P 1'
loop_
_atom_site_label
_atom_site_fract_x
_atom_site_fract_y
_atom_site_fract_z
Li1 0.000 0.000 0.000
Nb1 0.000 0.000 0.500
Co1 0.000 0.500 0.000
Co2 0.500 0.000 0.000
O1 0.500 0.500 0.500
```